The following is a GGA-PBE calculation of a relaxed SmPdPb crystal, from Alexandria via LeMat-Bulk.

## Properties
ΔE_f in kJ/mol of formula units: -191
Total moment in μB per cell: 0.00
N(E_F) in states/eV/atom: 0.7536

Cell: 3.6351 4.8152 4.8152 Å, 120.00 90.00 90.00°
Element x y z (fractional)
Pb 0.1664 0.3333 0.6667
Pd 0.1670 0.0000 0.0000
Sm 0.6666 0.6667 0.3333

***

The following is a GGA-PBE calculation of a relaxed SmPd3Pb crystal, from Alexandria via LeMat-Bulk.

## Properties
ΔE_f in kJ/mol of formula units: -196
Total moment in μB per cell: 0.00
N(E_F) in states/eV/atom: 0.4869

Cell: 7.3131 7.3131 7.3131 Å, 78.72 133.47 120.50°
Element x y z (fractional)
Pd 0.0000 0.6246 0.1246
Pd 0.5000 0.3754 0.3754
Pd 0.5000 0.6246 0.6246
Pd 0.0000 0.3754 0.8754
Pd 0.4720 0.2220 0.7500
Pd 0.5280 0.7780 0.2500
Sm 0.0618 0.8118 0.7500
Sm 0.9382 0.1882 0.2500
Pb 0.5000 0.0000 0.5000
Pb 0.5000 0.5000 0.0000